# LiGePbSe4

Crystalline LiGePbSe4 at its relaxed geometry (PBE, Alexandria).

The density of states at the Fermi level is 0.1233 states/eV per atom. As for the size of the total moment: 0.00 Bohr magnetons per cell. The value obtained for the energy is -54.508 eV per cell.

The structure belongs to space group P2_1/m (No. 11); the cell edges are 6.7953, 6.4278 and 9.3041 Å and the angles 90.00°, 104.86° and 90.00°. The asymmetric unit holds Li at (0.2276, 0.2500, 0.3310), Ge at (0.2559, 0.7500, 0.7075), Pb at (0.2846, 0.2500, 0.9823), Se at (0.0045, 0.2500, 0.5174), Se at (0.1071, 0.7500, 0.9134) and Se at (0.4903, 0.5167, 0.2491).

# VCu3Se2S2

Crystalline VCu3Se2S2 at its relaxed geometry (PBE, Alexandria).

As for the size of the total moment: 0.00 Bohr magnetons per cell. The value obtained for the energy is -82.116 eV per cell.

The structure belongs to space group Cmm2 (No. 35); the cell edges are 7.6669, 7.9730 and 5.5240 Å and the angles 90.00°, 90.00° and 90.00°. The asymmetric unit holds V at (0.0000, 0.0000, 0.0000), Cu at (0.0000, 0.0000, 0.4926), Cu at (0.2500, 0.2500, 0.0102), Se at (0.2469, 0.5000, 0.7558) and S at (0.0000, 0.2266, 0.2346).

Record order is preserved below.
E_form (uncorrected): -0.439, -0.553 eV/atom